No. 1
LaTaMo2, optimized geometry, DFT GGA-PBEsol; space group = No. 225; total energy = -39.7 eV for the cell shown; polymorph energy (0 for the lowest one) = 87 meV per atom; formation enthalpy at 0 K = 0.43 eV/atom
1.0
4.7082 0.0000 0.0000
2.3541 4.0774 0.0000
2.3541 1.3591 3.8442
La Mo Ta
1 2 1
Direct
0.5000 0.5000 0.5000
0.2500 0.2500 0.2500
0.7500 0.7500 0.7500
0.0000 0.0000 0.0000

No. 2
ZrAu2Br, optimized geometry, DFT GGA-PBEsol; space group = No. 123; total energy = -19.9 eV for the cell shown; polymorph energy (0 for the lowest one) = 27 meV per atom
1.0
3.2355 0.0000 0.0000
0.0000 3.2355 0.0000
0.0000 0.0000 7.6645
Au Br Zr
2 1 1
Direct
0.0000 0.0000 0.7332
0.0000 0.0000 0.2668
0.5000 0.5000 0.0000
0.5000 0.5000 0.5000

No. 3
Mg3MnGe, optimized geometry, DFT GGA-PBEsol; space group = No. 221; total energy = -16.9 eV for the cell shown; formation enthalpy at 0 K = 0.59 eV/atom
1.0
4.9811 0.0000 0.0000
0.0000 4.9811 0.0000
0.0000 0.0000 4.9811
Ge Mn Mg
1 1 3
Direct
0.0000 0.0000 0.0000
0.5000 0.5000 0.5000
0.0000 0.5000 0.0000
0.0000 0.0000 0.5000
0.5000 0.0000 0.0000

No. 4
SrV13O18, optimized geometry, DFT GGA-PBEsol; space group = No. 148; total energy = -295.1 eV for the cell shown
1.0
6.7615 0.0000 0.0000
-2.2538 7.1563 0.0000
2.2538 3.5782 6.1976
Sr V O
1 13 18
Direct
0.0000 0.0000 0.0000
0.5000 0.0000 0.0000
0.5487 0.4917 0.3415
0.8902 0.3415 0.1668
0.0570 0.1668 0.4917
0.4513 0.5083 0.6585
0.1098 0.6585 0.8332
0.9430 0.8332 0.5083
0.2535 0.6254 0.4156
0.6691 0.4156 0.9591
0.6281 0.9591 0.6254
0.7465 0.3746 0.5844
0.3309 0.5844 0.0409
0.3719 0.0409 0.3746
0.3150 0.8532 0.8912
0.2062 0.8912 0.2555
0.4618 0.2555 0.8532
0.6850 0.1468 0.1088
0.7938 0.1088 0.7445
0.5382 0.7445 0.1468
0.2400 0.3409 0.5891
0.8291 0.5891 0.0700
0.8991 0.0700 0.3409
0.7600 0.6591 0.4109
0.1709 0.4109 0.9300
0.1009 0.9300 0.6591
0.4075 0.7799 0.5468
0.9542 0.5468 0.6733
0.6275 0.6733 0.7799
0.5925 0.2201 0.4532
0.0458 0.4532 0.3267
0.3725 0.3267 0.2201